DFT (PBE) results for an optimized crystal structure of Ho5CdPd4.

Values from the calculation:
The value obtained for the total magnetization is 0.000 μB/f.u. The calculation puts the uncorrected energy at -5.24 eV per atom. As for the energy of formation from the pure elements: -18.02 kcal/mol of atoms.

Cell: 3.5122 3.5122 18.0440 Å, 90.00 90.00 90.00°
Fractional coordinates of all 10 atoms:
Pd  0.0000  0.0000  0.7912
Pd  0.0000  0.0000  0.4037
Pd  0.0000  0.0000  0.5963
Pd  0.0000  0.0000  0.2088
Cd  0.0000  0.0000  0.0000
Ho  0.5000  0.5000  0.1175
Ho  0.5000  0.5000  0.8825
Ho  0.5000  0.5000  0.6922
Ho  0.5000  0.5000  0.5000
Ho  0.5000  0.5000  0.3078